Entry 1:
This record from the Alexandria database describes an optimized crystal structure of ZrCoIr2. The functional is PBE. Values from VASP.

* space group: Cm (8)
* DOS(E_F): 0.929 states/eV/atom
* ΔH_f (0 K): -0.244 eV per atom
* calculated total energy: -68.70 eV/cell

Geometry as Quantum ESPRESSO input:
```
&SYSTEM
  ibrav = 0, nat = 8, ntyp = 3
/
ATOMIC_SPECIES
Zr 91.22 Zr.upf
Co 58.93 Co.upf
Ir 192.22 Ir.upf
ATOMIC_POSITIONS angstrom
Zr 0.0000 0.0000 0.0000
Zr 4.5654 1.4435 0.0000
Co 1.5658 0.0000 3.4249
Co 6.1312 1.4435 3.4249
Ir -0.4304 1.4435 2.3863
Ir 2.0890 1.4435 1.3479
Ir 4.1350 0.0000 2.3863
Ir 6.6544 0.0000 1.3479
CELL_PARAMETERS angstrom
9.1308 0.0000 0.0000
0.0000 2.8869 0.0000
-0.9255 0.0000 4.6705
```

Entry 2:
This record from the Alexandria database describes an optimized crystal structure of ZrCoIr. The functional is PBE. Values from VASP.

* space group: P3m1 (156)
* DOS(E_F): 1.365 states/eV/atom
* ΔH_f (0 K): 0.104 eV per atom
* calculated total energy: -24.20 eV/cell

Geometry as Quantum ESPRESSO input:
```
&SYSTEM
  ibrav = 0, nat = 3, ntyp = 3
/
ATOMIC_SPECIES
Zr 91.22 Zr.upf
Co 58.93 Co.upf
Ir 192.22 Ir.upf
ATOMIC_POSITIONS angstrom
Zr 0.0000 0.0000 0.0000
Co 1.4130 0.8158 2.3735
Ir 0.0000 1.6316 4.4096
CELL_PARAMETERS angstrom
2.8261 0.0000 0.0000
-1.4130 2.4474 0.0000
0.0000 0.0000 6.8443
```